No. 1
Below is an optimized crystal structure of LiCa2As, with properties calculated at the PBE level.

Structure (POSCAR):
```
LiCa2As
1.0
7.592 0.006 0.003
6.394 4.094 0.003
6.394 1.874 3.640
As Ca Li
1 2 1
direct
0.794 0.794 0.794
0.033 0.033 0.033
0.216 0.216 0.216
0.457 0.457 0.457
```

## Properties
Its calculated formation energy is -0.696 eV per atom. Its calculated volume is 28.223 Å³ per atom. As for the space group: R3m (160).

No. 2
Below is an optimized crystal structure of Ca2MgV, with properties calculated at the PBE level.

Structure (POSCAR):
```
Ca2MgV
1.0
-8.006 -1.804 2.424
3.021 -4.889 6.339
-2.474 -0.776 6.356
Ca Mg V
4 2 2
direct
0.639 0.125 0.250
0.111 0.625 0.250
0.375 0.361 0.750
0.875 0.889 0.750
0.500 0.500 0.000
0.250 0.750 0.500
0.000 0.000 0.000
0.750 0.250 0.500
```

## Properties
Its calculated formation energy is 0.655 eV per atom. Its calculated volume is 29.672 Å³ per atom. As for the space group: I-42d (122).

No. 3
Below is an optimized crystal structure of Nd8NiS3I4, with properties calculated at the PBE level.

Structure (POSCAR):
```
Nd8NiS3I4
1.0
8.338 0.000 0.000
0.000 9.106 0.548
-4.169 -4.172 5.893
Nd Ni S I
8 1 3 4
direct
0.225 0.688 0.963
0.225 0.688 0.450
0.271 0.314 0.542
0.738 0.688 0.963
0.262 0.312 0.037
0.729 0.686 0.458
0.775 0.312 0.550
0.775 0.312 0.037
0.000 0.500 0.000
0.500 0.500 0.000
0.500 0.500 0.500
0.000 0.500 0.500
0.500 0.000 0.000
0.500 0.000 0.500
0.000 0.000 0.000
0.000 0.000 0.500
```

## Properties
For the formation energy without anion corrections, the calculation gives -1.265 eV/atom. Its calculated volume is 29.159 Å³ per atom. As for the space group: R-3m (166).

No. 4
Below is an optimized crystal structure of Zn2SnPb2O6, with properties calculated at the PBE level.

Structure (POSCAR):
```
Zn2SnPb2O6
1.0
6.011 0.000 0.000
3.006 5.206 0.000
3.006 1.735 5.397
Zn Sn Pb O
2 1 2 6
direct
0.408 0.408 0.775
0.592 0.592 0.225
0.000 0.000 0.000
0.802 0.802 0.594
0.198 0.198 0.406
0.763 0.763 0.257
0.217 0.763 0.257
0.763 0.217 0.257
0.237 0.783 0.743
0.783 0.237 0.743
0.237 0.237 0.743
```

## Properties
For the formation energy without anion corrections, the calculation gives -1.236 eV/atom. Its calculated volume is 15.354 Å³ per atom. As for the space group: R-3m (166).

No. 5
Below is an optimized crystal structure of TmGa2Co2Ge, with properties calculated at the PBE level.

Structure (POSCAR):
```
TmGa2Co2Ge
1.0
-3.236 -2.767 -0.816
0.532 -1.777 3.918
-3.576 3.563 2.102
Tm Ga Co Ge
1 2 2 1
direct
0.000 0.000 0.500
0.500 0.500 0.739
0.500 0.500 0.261
0.500 0.000 0.000
0.000 0.500 0.000
0.000 0.000 0.000
```

## Properties
Its calculated formation energy is -0.172 eV per atom. Its calculated volume is 17.131 Å³ per atom. As for the space group: P4/mmm (123).

No. 6
Below is an optimized crystal structure of RbTlSbBr6, with properties calculated at the PBE level.

Structure (POSCAR):
```
RbTlSbBr6
1.0
8.003 0.000 0.000
4.001 6.931 0.001
0.000 0.000 6.817
Rb Tl Sb Br
1 1 1 6
direct
0.667 0.667 0.500
0.000 0.000 0.000
0.333 0.333 0.500
0.064 0.318 0.265
0.318 0.064 0.735
0.618 0.318 0.735
0.064 0.618 0.735
0.318 0.618 0.265
0.618 0.064 0.265
```

## Properties
For the formation energy without anion corrections, the calculation gives -0.825 eV/atom. Its calculated volume is 42.013 Å³ per atom. As for the space group: P312 (149).

Computed density (Mg/m³) in order:
2.4; 2.2; 6.5; 7.5; 8.1; 3.9